P) Entry from Alexandria via LeMat-Bulk: an optimized crystal structure of LaNd3Ir2 (PBE-GGA).

Values from the calculation:
density of states at the Fermi level	24.4	states/eV/cell
total magnetization	0.0	μB per formula unit

```
data_LaNd3Ir2
_chemical_formula_sum 'La4 Nd12 Ir8'
_cell_length_a 16.9249
_cell_length_b 4.3434
_cell_length_c 11.6295
_cell_angle_alpha 90.00
_cell_angle_beta 119.53
_cell_angle_gamma 90.00
_space_group_name_H-M_alt 'C 1 2/m 1'
_space_group_IT_number 12
loop_
_space_group_symop_operation_xyz
'x,y,z'
'-x,-y,-z'
'-x,y,-z'
'x,-y,z'
'x+1/2,y+1/2,z'
'-x+1/2,-y+1/2,-z'
'-x+1/2,y+1/2,-z'
'x+1/2,-y+1/2,z'
loop_
_atom_site_label
_atom_site_type_symbol
_atom_site_fract_x
_atom_site_fract_y
_atom_site_fract_z
La1 La 0.0714 0.0000 0.1782
Nd1 Nd 0.0592 0.5000 0.7099
Nd2 Nd 0.1773 0.0000 0.5454
Nd3 Nd 0.2060 0.5000 0.0827
Ir1 Ir 0.1194 0.0000 0.9009
Ir2 Ir 0.1298 0.5000 0.3597
```

Q) Entry from Alexandria via LeMat-Bulk: an optimized crystal structure of LaNd3Ir2 (PBE-GGA).

Values from the calculation:
density of states at the Fermi level	21.6	states/eV/cell
total magnetization	0.0	μB per formula unit

```
data_LaNd3Ir2
_chemical_formula_sum 'La4 Nd12 Ir8'
_cell_length_a 15.5519
_cell_length_b 4.8152
_cell_length_c 9.0562
_cell_angle_alpha 90.00
_cell_angle_beta 97.29
_cell_angle_gamma 90.00
_space_group_name_H-M_alt 'C 1 2/m 1'
_space_group_IT_number 12
loop_
_space_group_symop_operation_xyz
'x,y,z'
'-x,-y,-z'
'-x,y,-z'
'x,-y,z'
'x+1/2,y+1/2,z'
'-x+1/2,-y+1/2,-z'
'-x+1/2,y+1/2,-z'
'x+1/2,-y+1/2,z'
loop_
_atom_site_label
_atom_site_type_symbol
_atom_site_fract_x
_atom_site_fract_y
_atom_site_fract_z
La1 La 0.1741 0.0000 0.3379
Nd1 Nd 0.0475 0.0000 0.8411
Nd2 Nd 0.1025 0.5000 0.5903
Nd3 Nd 0.1743 0.5000 0.0317
Ir1 Ir 0.0499 0.5000 0.2528
Ir2 Ir 0.2044 0.0000 0.6932
```

Name the most stable of them. P).

P) Entry from Alexandria via LeMat-Bulk: an optimized crystal structure of LaNdNiIr (PBE-GGA).

Values from the calculation:
density of states at the Fermi level	10.4	states/eV/cell
total magnetization	0.0	μB per formula unit

```
data_LaNdNiIr
_chemical_formula_sum 'La4 Nd4 Ni4 Ir4'
_cell_length_a 7.0987
_cell_length_b 7.0987
_cell_length_c 7.0987
_cell_angle_alpha 90.00
_cell_angle_beta 90.00
_cell_angle_gamma 90.00
_space_group_name_H-M_alt 'F -4 3 m'
_space_group_IT_number 216
_space_group_name_Hall 'F -4 2 3'
loop_
_atom_site_label
_atom_site_type_symbol
_atom_site_fract_x
_atom_site_fract_y
_atom_site_fract_z
La1 La 0.0000 0.0000 0.0000
Nd1 Nd 0.0000 0.0000 0.5000
Ni1 Ni 0.2500 0.2500 0.7500
Ir1 Ir 0.2500 0.2500 0.2500
```

Q) Entry from Alexandria via LeMat-Bulk: an optimized crystal structure of LaNdNiIr (PBE-GGA).

Values from the calculation:
density of states at the Fermi level	5.2	states/eV/cell
total magnetization	0.0	μB per formula unit

```
data_LaNdNiIr
_chemical_formula_sum 'La2 Nd2 Ni2 Ir2'
_cell_length_a 4.1960
_cell_length_b 4.0165
_cell_length_c 11.0441
_cell_angle_alpha 90.00
_cell_angle_beta 90.00
_cell_angle_gamma 90.00
_space_group_name_H-M_alt 'A m m 2'
_space_group_IT_number 38
loop_
_space_group_symop_operation_xyz
'x,y,z'
'-x,-y,z'
'-x,y,z'
'x,-y,z'
'x,y+1/2,z+1/2'
'-x,-y+1/2,z+1/2'
'-x,y+1/2,z+1/2'
'x,-y+1/2,z+1/2'
loop_
_atom_site_label
_atom_site_type_symbol
_atom_site_fract_x
_atom_site_fract_y
_atom_site_fract_z
La1 La 0.0000 0.0000 0.0000
Nd1 Nd 0.5000 0.0000 0.7218
Ni1 Ni 0.0000 0.0000 0.2851
Ir1 Ir 0.5000 0.0000 0.4381
```

Name the most stable of them. Q).

P) Entry from Alexandria via LeMat-Bulk: an optimized crystal structure of LaNdIrPt (PBE-GGA).

Values from the calculation:
density of states at the Fermi level	7.1	states/eV/cell
total magnetization	0.0	μB per formula unit

```
data_LaNdIrPt
_chemical_formula_sum 'La4 Nd4 Ir4 Pt4'
_cell_length_a 7.2027
_cell_length_b 7.2027
_cell_length_c 7.2027
_cell_angle_alpha 90.00
_cell_angle_beta 90.00
_cell_angle_gamma 90.00
_space_group_name_H-M_alt 'F -4 3 m'
_space_group_IT_number 216
_space_group_name_Hall 'F -4 2 3'
loop_
_atom_site_label
_atom_site_type_symbol
_atom_site_fract_x
_atom_site_fract_y
_atom_site_fract_z
La1 La 0.0000 0.0000 0.0000
Nd1 Nd 0.0000 0.0000 0.5000
Ir1 Ir 0.2500 0.2500 0.7500
Pt1 Pt 0.2500 0.2500 0.2500
```

Q) Entry from Alexandria via LeMat-Bulk: an optimized crystal structure of LaNdIrPt (PBE-GGA).

Values from the calculation:
density of states at the Fermi level	4.3	states/eV/cell
total magnetization	0.0	μB per formula unit

```
data_LaNdIrPt
_chemical_formula_sum 'La2 Nd2 Ir2 Pt2'
_cell_length_a 4.4698
_cell_length_b 3.9690
_cell_length_c 10.9460
_cell_angle_alpha 90.00
_cell_angle_beta 90.00
_cell_angle_gamma 90.00
_space_group_name_H-M_alt 'A m m 2'
_space_group_IT_number 38
loop_
_space_group_symop_operation_xyz
'x,y,z'
'-x,-y,z'
'-x,y,z'
'x,-y,z'
'x,y+1/2,z+1/2'
'-x,-y+1/2,z+1/2'
'-x,y+1/2,z+1/2'
'x,-y+1/2,z+1/2'
loop_
_atom_site_label
_atom_site_type_symbol
_atom_site_fract_x
_atom_site_fract_y
_atom_site_fract_z
La1 La 0.0000 0.0000 0.0000
Nd1 Nd 0.5000 0.0000 0.7217
Ir1 Ir 0.0000 0.0000 0.2687
Pt1 Pt 0.5000 0.0000 0.4449
```

Name the most stable of them. Q).

P) Entry from Alexandria via LeMat-Bulk: an optimized crystal structure of LaNi2Ir2 (PBE-GGA).

Values from the calculation:
density of states at the Fermi level	14.8	states/eV/cell
total magnetization	0.0	μB per formula unit

```
data_LaNi2Ir2
_chemical_formula_sum 'La2 Ni4 Ir4'
_cell_length_a 7.4508
_cell_length_b 7.4508
_cell_length_c 2.8631
_cell_angle_alpha 90.00
_cell_angle_beta 90.00
_cell_angle_gamma 90.00
_space_group_name_H-M_alt 'P 4/m b m'
_space_group_IT_number 127
_space_group_name_Hall '-P 4 2ab'
loop_
_atom_site_label
_atom_site_type_symbol
_atom_site_fract_x
_atom_site_fract_y
_atom_site_fract_z
La1 La 0.0000 0.0000 0.0000
Ni1 Ni 0.1692 0.3308 0.5000
Ir1 Ir 0.1281 0.6281 0.0000
```

Q) Entry from Alexandria via LeMat-Bulk: an optimized crystal structure of LaNi2Ir2 (PBE-GGA).

Values from the calculation:
density of states at the Fermi level	16.5	states/eV/cell
total magnetization	0.0	μB per formula unit

```
data_LaNi2Ir2
_chemical_formula_sum 'La2 Ni4 Ir4'
_cell_length_a 3.9313
_cell_length_b 3.9313
_cell_length_c 10.9664
_cell_angle_alpha 90.00
_cell_angle_beta 90.00
_cell_angle_gamma 90.00
_space_group_name_H-M_alt 'I 4/m m m'
_space_group_IT_number 139
_space_group_name_Hall '-I 4 2'
loop_
_atom_site_label
_atom_site_type_symbol
_atom_site_fract_x
_atom_site_fract_y
_atom_site_fract_z
La1 La 0.0000 0.0000 0.0000
Ni1 Ni 0.0000 0.0000 0.3928
Ir1 Ir 0.0000 0.5000 0.2500
```

Name the most stable of them. Q).